Computed, not measured: a relaxed structure of Y2BeRu at the PBE level of DFT.

Unit cell a=6.1215 b=6.1215 c=6.1215 alpha=103.93 beta=103.93 gamma=121.23
With the nearest neighbours (Å) after each atom.
Element x y z (fractional)
Y 0.1104 0.1250 0.4854  2 Ru 2.70, 2 Be 2.85, 2 Y 3.01
Y 0.3750 0.8896 0.0146  2 Ru 2.70, 2 Be 2.85, 2 Y 3.01
Y 0.6396 0.6250 0.5146  2 Ru 2.70, 2 Be 2.85, 2 Y 3.01
Y 0.8750 0.3604 0.9854  2 Ru 2.70, 2 Be 2.85, 2 Y 3.01
Be 0.2500 0.7500 0.5000  4 Y 2.85, 2 Ru 3.00
Be 0.5000 0.5000 0.0000  4 Y 2.85, 2 Ru 3.00
Ru 0.0000 0.0000 0.0000  4 Y 2.70, 2 Be 3.00
Ru 0.7500 0.2500 0.5000  4 Y 2.70, 2 Be 3.00

Values from the calculation:
energy of formation from the pure elements	368	meV per atom
E_tot	-6.115	eV per atom
crystal system	tetragonal
symmetry	I-42d

Computed, not measured: a relaxed structure of Y2BeRu at the PBE level of DFT.

Unit cell a=8.3082 b=8.3082 c=8.3082 alpha=24.57 beta=24.57 gamma=24.57
With the nearest neighbours (Å) after each atom.
Element x y z (fractional)
Y 0.2476 0.2476 0.2476  3 Ru 2.83, 3 Be 2.91
Y 0.7524 0.7524 0.7524  3 Ru 2.83, 3 Be 2.91
Be 0.0000 0.0000 0.0000  6 Y 2.91
Ru 0.5000 0.5000 0.5000  6 Y 2.83

Values from the calculation:
energy of formation from the pure elements	189	meV per atom
E_tot	-6.294	eV per atom
crystal system	trigonal
symmetry	R-3m

Computed, not measured: a relaxed structure of YBeRu2 at the PBE level of DFT.

Unit cell a=4.7830 b=4.7830 c=4.7830 alpha=129.56 beta=129.56 gamma=74.12
With the nearest neighbours (Å) after each atom.
Element x y z (fractional)
Y 0.0000 0.0000 0.0000  8 Ru 2.79-2.88, 4 Be 2.79
Be 0.2500 0.7500 0.5000  8 Ru 2.79-2.88, 4 Y 2.79
Ru 0.5000 0.5000 0.0000  4 Ru 2.79, 4 Be 2.79, 4 Y 2.88
Ru 0.7500 0.2500 0.5000  4 Ru 2.79, 4 Y 2.79, 4 Be 2.88

Values from the calculation:
energy of formation from the pure elements	190	meV per atom
E_tot	-6.995	eV per atom
crystal system	tetragonal
symmetry	I-4m2

Computed, not measured: a relaxed structure of YBeRu2 at the PBE level of DFT.

Unit cell a=8.4809 b=8.4809 c=8.4809 alpha=149.04 beta=149.04 gamma=44.35
With the nearest neighbours (Å) after each atom.
Element x y z (fractional)
Y 0.0000 0.0000 0.0000  8 Ru 3.06-3.36, 4 Be 3.20
Y 0.7500 0.2500 0.5000  8 Ru 3.06-3.36, 4 Be 3.20
Be 0.2500 0.7500 0.5000  4 Ru 2.28
Be 0.5000 0.5000 0.0000  4 Ru 2.28
Ru 0.3278 0.6250 0.2028  2 Be 2.28, 2 Ru 2.30
Ru 0.3750 0.5778 0.7028  2 Be 2.28, 2 Ru 2.30
Ru 0.4222 0.1250 0.7972  2 Be 2.28, 2 Ru 2.30
Ru 0.8750 0.6722 0.2972  2 Be 2.28, 2 Ru 2.30

Values from the calculation:
energy of formation from the pure elements	281	meV per atom
E_tot	-6.905	eV per atom
crystal system	tetragonal
symmetry	I-42d

Computed, not measured: a relaxed structure of YBeRu3 at the PBE level of DFT.

Unit cell a=4.8702 b=4.8702 c=4.8702 alpha=90.00 beta=90.00 gamma=90.00
With the nearest neighbours (Å) after each atom.
Element x y z (fractional)
Y 0.0000 0.0000 0.0000  6 Ru 2.44
Be 0.5000 0.5000 0.5000  12 Ru 3.44
Ru 0.0000 0.0000 0.5000  2 Y 2.44
Ru 0.0000 0.5000 0.0000  2 Y 2.44
Ru 0.5000 0.0000 0.0000  2 Y 2.44

Values from the calculation:
energy of formation from the pure elements	2308	meV per atom
energy above the most stable polymorph in this dataset	2.2403	eV/atom
E_tot	-5.295	eV per atom
crystal system	cubic
symmetry	Pm-3m

Computed, not measured: a relaxed structure of YBe2Ru2 at the PBE level of DFT.

Unit cell a=5.3605 b=5.3605 c=5.3605 alpha=135.32 beta=135.32 gamma=65.03
With the nearest neighbours (Å) after each atom.
Element x y z (fractional)
Y 0.0000 0.0000 0.0000  8 Be 3.04, 10 Ru 3.13-3.30
Be 0.2500 0.7500 0.5000  4 Ru 2.29
Be 0.7500 0.2500 0.5000  4 Ru 2.29
Ru 0.3654 0.3654 0.0000  4 Be 2.29, 1 Ru 2.43
Ru 0.6346 0.6346 0.0000  4 Be 2.29, 1 Ru 2.43

Values from the calculation:
energy of formation from the pure elements	-189	meV per atom
energy above the most stable polymorph in this dataset	0.0360	eV/atom
E_tot	-6.682	eV per atom
crystal system	tetragonal
symmetry	I4/mmm

Computed, not measured: a relaxed structure of YBeRu at the PBE level of DFT.

Unit cell a=5.1469 b=5.1469 c=5.1469 alpha=119.19 beta=118.21 gamma=92.26
With the nearest neighbours (Å) after each atom.
Element x y z (fractional)
Y 0.3791 0.1291 0.2500  6 Ru 2.96-3.06, 6 Be 3.00-3.07, 4 Y 3.12-3.22
Y 0.6209 0.8709 0.7500  6 Ru 2.96-3.06, 6 Be 3.00-3.07, 4 Y 3.12-3.22
Be 0.0000 0.0000 0.5000  4 Ru 2.57, 2 Be 2.60
Be 0.0000 0.5000 0.0000  4 Ru 2.57, 2 Be 2.60
Ru 0.0000 0.5000 0.5000  4 Be 2.57, 2 Ru 2.64
Ru 0.5000 0.5000 0.0000  4 Be 2.57, 2 Ru 2.64

Values from the calculation:
energy of formation from the pure elements	-242	meV per atom
energy above the most stable polymorph in this dataset	0.0418	eV/atom
E_tot	-6.730	eV per atom
crystal system	orthorhombic
symmetry	Imma

Computed, not measured: a relaxed structure of YBe2Ru2 at the PBE level of DFT.

Unit cell a=6.9923 b=6.9923 c=2.8913 alpha=90.00 beta=90.00 gamma=90.00
With the nearest neighbours (Å) after each atom.
Element x y z (fractional)
Y 0.0000 0.0000 0.0000  4 Ru 2.70, 2 Y 2.89
Y 0.5000 0.5000 0.0000  4 Ru 2.70, 2 Y 2.89
Be 0.1386 0.3614 0.5000  6 Ru 2.43-2.62
Be 0.3614 0.8614 0.5000  6 Ru 2.43-2.62
Be 0.6386 0.1386 0.5000  6 Ru 2.43-2.62
Be 0.8614 0.6386 0.5000  6 Ru 2.43-2.62
Ru 0.1402 0.6402 0.0000  6 Be 2.43-2.62, 2 Y 2.70
Ru 0.3598 0.1402 0.0000  6 Be 2.43-2.62, 2 Y 2.70
Ru 0.6402 0.8598 0.0000  6 Be 2.43-2.62, 2 Y 2.70
Ru 0.8598 0.3598 0.0000  6 Be 2.43-2.62, 2 Y 2.70

Values from the calculation:
energy of formation from the pure elements	-33	meV per atom
energy above the most stable polymorph in this dataset	0.1917	eV/atom
E_tot	-6.527	eV per atom
crystal system	tetragonal
symmetry	P4/mbm

Computed, not measured: a relaxed structure of YBeRu2 at the PBE level of DFT.

Unit cell a=7.0868 b=7.0868 c=7.0868 alpha=26.85 beta=26.85 gamma=26.85
With the nearest neighbours (Å) after each atom.
Element x y z (fractional)
Y 0.0000 0.0000 0.0000  6 Ru 2.92
Be 0.5000 0.5000 0.5000  6 Ru 2.25
Ru 0.2252 0.2252 0.2252  3 Be 2.25
Ru 0.7748 0.7748 0.7748  3 Be 2.25

Values from the calculation:
energy of formation from the pure elements	113	meV per atom
E_tot	-7.073	eV per atom
crystal system	trigonal
symmetry	R-3m

Computed, not measured: a relaxed structure of YBe2Ru2 at the PBE level of DFT.

Unit cell a=6.6259 b=6.6259 c=3.1463 alpha=90.00 beta=90.00 gamma=90.00
With the nearest neighbours (Å) after each atom.
Element x y z (fractional)
Y 0.0000 0.0000 0.0000  4 Be 2.68, 8 Ru 2.94
Y 0.5000 0.5000 0.0000  4 Be 2.68, 8 Ru 2.94
Be 0.1115 0.3885 0.0000  1 Be 2.09
Be 0.3885 0.8885 0.0000  1 Be 2.09
Be 0.6115 0.1115 0.0000  1 Be 2.09
Be 0.8885 0.6115 0.0000  1 Be 2.09
Ru 0.1622 0.6622 0.5000  6 Be 2.42-2.64
Ru 0.3378 0.1622 0.5000  6 Be 2.42-2.64
Ru 0.6622 0.8378 0.5000  6 Be 2.42-2.64
Ru 0.8378 0.3378 0.5000  6 Be 2.42-2.64

Values from the calculation:
energy of formation from the pure elements	-225	meV per atom
energy above the most stable polymorph in this dataset	0.0000	eV/atom
E_tot	-6.718	eV per atom
crystal system	tetragonal
symmetry	P4/mbm

Computed, not measured: a relaxed structure of YBeRu at the PBE level of DFT.

Unit cell a=6.8825 b=4.1330 c=7.0843 alpha=90.00 beta=90.00 gamma=90.00
With the nearest neighbours (Å) after each atom.
Element x y z (fractional)
Y 0.0048 0.2500 0.1961  4 Ru 2.87-2.94, 6 Be 2.88-3.07
Y 0.4952 0.7500 0.6961  4 Ru 2.87-2.94, 6 Be 2.88-3.07
Y 0.5048 0.2500 0.3039  4 Ru 2.87-2.94, 6 Be 2.88-3.07
Y 0.9952 0.7500 0.8039  4 Ru 2.87-2.94, 6 Be 2.88-3.07
Be 0.1845 0.2500 0.5898  4 Ru 2.37-2.60
Be 0.3155 0.7500 0.0898  4 Ru 2.37-2.60
Be 0.6845 0.2500 0.9102  4 Ru 2.37-2.60
Be 0.8155 0.7500 0.4102  4 Ru 2.37-2.60
Ru 0.1694 0.7500 0.4280  4 Be 2.37-2.60
Ru 0.3306 0.2500 0.9280  4 Be 2.37-2.60
Ru 0.6694 0.7500 0.0720  4 Be 2.37-2.60
Ru 0.8306 0.2500 0.5720  4 Be 2.37-2.60

Values from the calculation:
energy of formation from the pure elements	-283	meV per atom
energy above the most stable polymorph in this dataset	0.0000	eV/atom
E_tot	-6.772	eV per atom
crystal system	orthorhombic
symmetry	Pnma

Computed, not measured: a relaxed structure of YBeRu at the PBE level of DFT.

Unit cell a=5.3041 b=5.3041 c=5.3041 alpha=144.59 beta=144.59 gamma=50.95
With the nearest neighbours (Å) after each atom.
Element x y z (fractional)
Y 0.0000 0.0000 0.0000  1 Be 2.71, 5 Ru 2.79-3.04
Be 0.2831 0.2831 0.0000  4 Ru 2.39
Ru 0.7091 0.7091 0.0000  4 Be 2.39

Values from the calculation:
energy of formation from the pure elements	-221	meV per atom
energy above the most stable polymorph in this dataset	0.0623	eV/atom
E_tot	-6.710	eV per atom
crystal system	tetragonal
symmetry	I4mm

Computed, not measured: a relaxed structure of YBeRu2 at the PBE level of DFT.

Unit cell a=3.0564 b=4.2312 c=5.1975 alpha=90.00 beta=104.28 gamma=90.00
With the nearest neighbours (Å) after each atom.
Element x y z (fractional)
Y 0.0000 0.0000 0.0000  3 Ru 2.67-2.95, 4 Be 2.93-2.94
Be 0.6095 0.5000 0.2682  4 Ru 2.33-2.37
Ru 0.2490 0.5000 0.6211  2 Be 2.33-2.36
Ru 0.6363 0.0000 0.4766  2 Be 2.37, 2 Ru 2.62

Values from the calculation:
energy of formation from the pure elements	17	meV per atom
E_tot	-7.169	eV per atom
crystal system	monoclinic
symmetry	Pm

Computed, not measured: a relaxed structure of YBeRu2 at the PBE level of DFT.

Unit cell a=5.0132 b=5.0132 c=5.0132 alpha=144.09 beta=121.41 gamma=70.66
With the nearest neighbours (Å) after each atom.
Element x y z (fractional)
Y 0.0000 0.0000 0.0000  8 Ru 2.82-3.00, 4 Be 2.90, 2 Y 3.09
Be 0.5000 0.5000 0.0000  4 Ru 2.32
Ru 0.2887 0.7887 0.5000  2 Be 2.32
Ru 0.7113 0.2113 0.5000  2 Be 2.32

Values from the calculation:
energy of formation from the pure elements	30	meV per atom
E_tot	-7.156	eV per atom
crystal system	orthorhombic
symmetry	Immm

Computed, not measured: a relaxed structure of Y3BeRu at the PBE level of DFT.

Unit cell a=5.2871 b=5.2871 c=5.2871 alpha=90.00 beta=90.00 gamma=90.00
With the nearest neighbours (Å) after each atom.
Element x y z (fractional)
Y 0.0000 0.0000 0.5000  2 Ru 2.64
Y 0.0000 0.5000 0.0000  2 Ru 2.64
Y 0.5000 0.0000 0.0000  2 Ru 2.64
Be 0.5000 0.5000 0.5000  12 Y 3.74
Ru 0.0000 0.0000 0.0000  6 Y 2.64

Values from the calculation:
energy of formation from the pure elements	328	meV per atom
energy above the most stable polymorph in this dataset	0.0000	eV/atom
E_tot	-6.151	eV per atom
crystal system	cubic
symmetry	Pm-3m